This record from Alexandria describes a relaxed structure of CaTiAsO5. The functional is PBE-GGA.

Geometry as extended XYZ:
```
32
Lattice="-2.412 -3.160 -6.971 5.504 -2.173 -0.919 -1.940 -7.958 4.279" Properties=species:S:1:pos:R:3 pbc="T T T"
Ca 0.818 -8.808 3.156
Ca 3.709 -6.454 -2.158
Ca 1.250 -3.282 -4.118
Ca -3.336 -7.857 -3.704
Ti 3.921 -3.928 0.350
Ti 1.287 -8.899 -1.091
Ti -1.602 -7.833 -0.588
Ti 1.039 -2.853 0.873
As 4.325 -3.209 -3.033
As 1.463 -6.204 0.939
As -3.529 -10.548 -1.607
As 0.180 -6.442 -3.129
O -0.529 -2.545 -0.125
O 0.487 -7.265 -0.031
O 2.124 -10.166 -2.207
O 0.222 -6.606 -4.858
O 3.241 -4.539 -3.469
O 2.086 -7.039 2.293
O -3.184 -10.186 -3.305
O 0.179 -4.793 -2.685
O -1.839 -9.133 0.812
O 0.449 -4.855 1.297
O 2.126 -5.290 -6.921
O 1.518 -7.368 -2.553
O 1.221 -9.840 0.621
O 2.862 -5.710 0.068
O -0.648 -4.209 -5.904
O -1.303 -7.048 -2.503
O 2.181 -3.154 -0.498
O 3.319 -8.472 -0.756
O -0.436 -9.360 -1.398
O -2.762 -5.599 -4.574
```

Results
Formation energy without anion corrections in kJ/mol of formula units: -1844
M_tot in μB per formula unit: 0.00
Energy above the most stable polymorph in this dataset in meV/atom: 0
VASP energy in eV/cell: -233.803
SG: P2_1

***

This record from Alexandria describes a relaxed structure of LaAsRhBr2. The functional is PBE-GGA.

Geometry as extended XYZ:
```
5
Lattice="5.744 0.000 0.000 0.000 5.744 0.000 0.000 0.000 5.935" Properties=species:S:1:pos:R:3 pbc="T T T"
As 0.000 0.000 2.968
Rh 2.872 2.872 2.968
Br 0.000 2.872 0.000
Br 2.872 0.000 0.000
La 0.000 0.000 0.000
```

Results
Formation energy without anion corrections in kJ/mol of formula units: 58
M_tot in μB per formula unit: 2.69
Energy above the most stable polymorph in this dataset in meV/atom: 695
VASP energy in eV/cell: -19.676
SG: P4/mmm

***

This record from Alexandria describes a relaxed structure of Pr2MgAs3Pt4. The functional is PBE-GGA.

Geometry as extended XYZ:
```
10
Lattice="4.311 0.000 0.000 0.000 4.311 0.000 0.000 0.000 10.742" Properties=species:S:1:pos:R:3 pbc="T T T"
Pr 2.155 0.000 2.479
Pr 0.000 2.155 8.263
Mg 2.155 2.155 5.371
As 0.000 0.000 5.371
As 2.155 0.000 9.299
As 0.000 2.155 1.443
Pt 2.155 2.155 0.000
Pt 0.000 0.000 0.000
Pt 2.155 0.000 6.847
Pt 0.000 2.155 3.895
```

Results
Formation enthalpy at 0 K in eV per atom: -0.908
M_tot in μB per formula unit: 0.00
VASP energy in eV/cell: -58.344
SG: P-4m2

***

This record from Alexandria describes a relaxed structure of Ce2Pu4Ge3N2. The functional is PBE-GGA.

Geometry as extended XYZ:
```
11
Lattice="4.548 0.000 0.000 0.000 4.548 0.000 -2.274 -2.274 12.255" Properties=species:S:1:pos:R:3 pbc="T T T"
Ce 0.000 0.000 7.365
Ce 2.274 2.274 4.890
Pu 0.000 2.274 10.234
Pu 2.274 0.000 10.234
Pu 0.000 2.274 2.021
Pu 2.274 0.000 2.021
Ge 0.000 0.000 0.000
Ge 0.000 0.000 4.264
Ge 2.274 2.274 7.991
N 0.000 0.000 9.688
N 2.274 2.274 2.567
```

Results
Formation energy without anion corrections in kJ/mol of formula units: -796
M_tot in μB per formula unit: 21.91
VASP energy in eV/cell: -107.946
SG: I4/mmm

***

This record from Alexandria describes a relaxed structure of LiCoGe2. The functional is PBE-GGA.

Geometry as extended XYZ:
```
8
Lattice="4.219 0.000 0.000 0.000 4.219 0.000 2.110 2.110 7.826" Properties=species:S:1:pos:R:3 pbc="T T T"
Ge 3.466 1.055 1.957
Ge 0.753 3.164 1.957
Ge 3.164 2.863 5.870
Ge 5.274 5.576 5.870
Co 0.000 0.000 0.000
Co 4.219 2.110 3.913
Li 2.110 2.110 0.000
Li 2.110 4.219 3.913
```

Results
Formation enthalpy at 0 K in eV per atom: 0.165
M_tot in μB per formula unit: 0.00
Energy above the most stable polymorph in this dataset in meV/atom: 359
VASP energy in eV/cell: -35.187
SG: I-42d

***

This record from Alexandria describes a relaxed structure of Th2ZrIn3. The functional is PBE-GGA.

Geometry as extended XYZ:
```
12
Lattice="6.108 0.000 0.000 -3.054 5.289 0.000 0.000 0.000 9.849" Properties=species:S:1:pos:R:3 pbc="T T T"
Th 3.054 1.763 4.457
Th 0.000 3.526 5.391
Th 0.000 3.526 9.382
Th 3.054 1.763 0.467
Zr 0.000 0.000 4.924
Zr 0.000 0.000 0.000
In 0.000 1.800 2.462
In 1.559 0.900 7.387
In 3.054 3.490 7.387
In -1.495 4.390 2.462
In 4.549 0.900 7.387
In 1.495 4.390 2.462
```

Results
Formation enthalpy at 0 K in eV per atom: -0.297
M_tot in μB per formula unit: 0.00
VASP energy in eV/cell: -66.772
SG: P6_3/mmc

***

This record from Alexandria describes a relaxed structure of LaSc2Rh. The functional is PBE-GGA.

Geometry as extended XYZ:
```
8
Lattice="4.172 0.000 0.000 0.000 4.172 0.000 2.086 2.086 11.004" Properties=species:S:1:pos:R:3 pbc="T T T"
Sc 3.040 1.043 2.751
Sc 1.132 3.129 2.751
Sc 3.129 3.218 8.253
Sc 5.215 5.126 8.253
Rh 2.086 2.086 0.000
Rh 2.086 4.172 5.502
La 0.000 0.000 0.000
La 4.172 2.086 5.502
```

Results
Formation enthalpy at 0 K in eV per atom: -0.017
M_tot in μB per formula unit: 0.00
VASP energy in eV/cell: -50.017
SG: I-42d

***

This record from Alexandria describes a relaxed structure of Ba2Sn15Pb2. The functional is PBE-GGA.

Geometry as extended XYZ:
```
19
Lattice="8.496 0.154 0.137 1.255 8.404 0.137 1.255 1.102 8.333" Properties=species:S:1:pos:R:3 pbc="T T T"
Ba 3.741 3.283 2.925
Ba 7.266 6.377 5.682
Sn 4.248 0.077 0.069
Sn 0.628 0.551 4.166
Sn 0.628 4.202 0.069
Sn 1.255 6.258 2.547
Sn 6.368 2.579 0.137
Sn 3.384 0.823 5.924
Sn 3.384 5.979 0.137
Sn 6.368 0.433 2.547
Sn 1.255 3.248 5.924
Sn 2.887 6.130 5.462
Sn 6.453 5.664 1.427
Sn 6.453 2.068 5.462
Sn 8.119 3.530 3.146
Sn 4.554 3.997 7.181
Sn 4.554 7.593 3.146
Pb 1.092 0.958 0.854
Pb 9.915 8.702 7.754
```

Results
Formation enthalpy at 0 K in eV per atom: -0.121
M_tot in μB per formula unit: 0.00
VASP energy in eV/cell: -73.604
SG: R-3m

***

This record from Alexandria describes a relaxed structure of LiCdRe2Sb. The functional is PBE-GGA.

Geometry as extended XYZ:
```
5
Lattice="4.985 0.000 0.000 0.000 4.266 0.000 0.000 0.000 4.985" Properties=species:S:1:pos:R:3 pbc="T T T"
Re 0.000 0.000 2.493
Re 2.493 0.000 0.000
Cd 0.000 0.000 0.000
Li 0.000 2.133 0.000
Sb 2.493 2.133 2.493
```

Results
Formation energy without anion corrections in kJ/mol of formula units: 888
M_tot in μB per formula unit: 3.04
VASP energy in eV/cell: -22.644
SG: P4/mmm

***

This record from Alexandria describes a relaxed structure of BaSr3Ir. The functional is PBE-GGA.

Geometry as extended XYZ:
```
20
Lattice="-6.944 1.542 -2.153 -4.537 -7.058 9.579 -0.039 6.997 5.138" Properties=species:S:1:pos:R:3 pbc="T T T"
Sr -10.537 1.281 10.819
Sr -5.626 0.729 4.274
Sr -4.463 2.538 1.819
Sr -2.146 -1.609 4.200
Sr -0.983 0.200 1.745
Sr -5.893 0.752 8.290
Sr -7.056 -1.057 10.745
Sr -9.374 3.090 8.364
Sr -6.214 4.778 4.809
Sr -8.779 -2.180 6.932
Sr -5.306 -3.297 7.754
Sr -2.740 3.661 5.632
Ir -7.435 2.727 2.720
Ir -7.572 2.219 10.745
Ir -4.085 -1.246 9.843
Ir -3.948 -0.738 1.818
Ba -0.019 3.498 2.569
Ba -5.740 -2.758 3.713
Ba -3.472 0.771 -1.076
Ba -2.288 -0.031 7.358
```

Results
Formation enthalpy at 0 K in eV per atom: 0.035
M_tot in μB per formula unit: 0.00
Energy above the most stable polymorph in this dataset in meV/atom: 199
VASP energy in eV/cell: -62.626
SG: Pnma

***

This record from Alexandria describes a relaxed structure of Hf4Co7Si6. The functional is PBE-GGA.

Geometry as extended XYZ:
```
17
Lattice="6.284 0.000 -2.222 -3.142 5.442 -2.222 0.000 0.000 6.665" Properties=species:S:1:pos:R:3 pbc="T T T"
Hf 3.142 0.000 -1.111
Hf 1.571 2.721 1.111
Hf -1.571 2.721 -1.111
Hf 0.000 0.000 3.332
Co 3.142 2.721 -1.111
Co -0.785 4.081 1.111
Co 0.785 4.081 -1.111
Co 3.927 1.360 1.111
Co 0.000 2.721 3.332
Co 2.356 1.360 3.332
Co 0.000 0.000 0.000
Si 4.246 0.000 3.002
Si 2.123 3.677 -3.002
Si -1.019 1.765 1.441
Si 2.038 0.000 1.441
Si 1.019 1.765 -1.441
Si -2.123 3.677 3.002
```

Results
Formation energy without anion corrections in kJ/mol of formula units: -1308
M_tot in μB per formula unit: 0.00
VASP energy in eV/cell: -135.650
SG: Im-3m

***

This record from Alexandria describes a relaxed structure of SmDyAl. The functional is PBE-GGA.

Geometry as extended XYZ:
```
3
Lattice="-1.432 2.982 1.049 -2.389 -1.775 1.785 5.979 -0.575 4.057" Properties=species:S:1:pos:R:3 pbc="T T T"
Al 1.731 0.628 6.316
Sm -1.106 0.609 2.499
Dy 2.472 0.017 3.325
```

Results
Formation enthalpy at 0 K in eV per atom: -0.233
M_tot in μB per formula unit: 0.00
Energy above the most stable polymorph in this dataset in meV/atom: 7
VASP energy in eV/cell: -13.763
SG: I4mm